Record 1
# BPBr6

A PBEsol-optimized structure of BPBr6 (SCAN, Alexandria via LeMat-Bulk).

Unit cell a=7.1088 b=11.1464 c=12.4205 alpha=90.00 beta=90.00 gamma=90.00
Closest atoms and distances in Å follow each position.
Positions (direct):
Br: 0.1161 0.8993 0.7245  1 B 1.98
Br: 0.2544 0.0928 0.4999  1 P 2.18
Br: 0.7456 0.5928 0.5001  1 P 2.18
Br: 0.7200 0.2500 0.0005  1 B 1.99
Br: 0.3788 0.2500 0.2679  1 P 2.18
Br: 0.7456 0.9072 0.5001  1 P 2.18
Br: 0.2456 0.4072 0.9999  1 P 2.18
Br: 0.1212 0.2500 0.7679  1 P 2.18
Br: 0.1161 0.6007 0.7245  1 B 1.98
Br: 0.6212 0.7500 0.7321  1 P 2.18
Br: 0.7544 0.9072 0.0001  1 P 2.18
Br: 0.7544 0.5928 0.0001  1 P 2.18
Br: 0.6161 0.3993 0.7755  1 B 1.98
Br: 0.8839 0.3993 0.2755  1 B 1.98
Br: 0.7800 0.2500 0.5005  1 B 1.99
Br: 0.2544 0.4072 0.4999  1 P 2.18
Br: 0.2456 0.0928 0.9999  1 P 2.18
Br: 0.2800 0.7500 0.9995  1 B 1.99
Br: 0.8788 0.7500 0.2321  1 P 2.18
Br: 0.3839 0.8993 0.2245  1 B 1.98
Br: 0.2200 0.7500 0.4995  1 B 1.99
Br: 0.6161 0.1007 0.7755  1 B 1.98
Br: 0.3839 0.6007 0.2245  1 B 1.98
Br: 0.8839 0.1007 0.2755  1 B 1.98
B: 0.9149 0.2500 0.3602  3 Br 1.98-1.99, 1 P 2.00
B: 0.0851 0.7500 0.6398  3 Br 1.98-1.99, 1 P 2.00
B: 0.5851 0.2500 0.8602  3 Br 1.98-1.99, 1 P 2.00
B: 0.4149 0.7500 0.1398  3 Br 1.98-1.99, 1 P 2.00
P: 0.6857 0.7500 0.0962  1 B 2.00, 3 Br 2.18
P: 0.3143 0.2500 0.9038  1 B 2.00, 3 Br 2.18
P: 0.1857 0.2500 0.4038  1 B 2.00, 3 Br 2.18
P: 0.8143 0.7500 0.5962  1 B 2.00, 3 Br 2.18

## Properties
The final energy comes out at -17.3137 eV per atom. As for the symmetry: No. 62. The calculation puts the volume at 30.8 Å³ per atom. The calculation puts the total moment at 0.000 Bohr magnetons per cell.

Record 2
# IrN2Cl

A PBEsol-optimized structure of IrN2Cl (SCAN, Alexandria via LeMat-Bulk).

Unit cell a=3.8540 b=3.8540 c=3.8540 alpha=60.00 beta=60.00 gamma=60.00
Closest atoms and distances in Å follow each position.
Positions (direct):
Cl: 0.0000 0.0000 0.0000  8 N 2.36
N: 0.2500 0.2500 0.2500  4 Cl 2.36, 4 Ir 2.36
N: 0.7500 0.7500 0.7500  4 Ir 2.36, 4 Cl 2.36
Ir: 0.5000 0.5000 0.5000  8 N 2.36

## Properties
As for the symmetry: No. 225. The calculation puts the polymorph energy (0 for the lowest one) at 604 meV/atom. The calculation puts the volume at 10.1 Å³ per atom. The calculation puts the total moment at 0.000 Bohr magnetons per cell.

Record 3
# AgSb2SI

A PBEsol-optimized structure of AgSb2SI (SCAN, Alexandria via LeMat-Bulk).

Unit cell a=5.2346 b=5.3216 c=5.3216 alpha=90.00 beta=90.00 gamma=90.00
Closest atoms and distances in Å follow each position.
Positions (direct):
Ag: 0.0000 0.0000 0.0000  2 I 2.62, 4 Sb 2.66
S: 0.5000 0.5000 0.5000  8 Sb 3.73, 4 I 3.76
Sb: 0.0000 0.5000 0.0000  2 Ag 2.66
Sb: 0.0000 0.0000 0.5000  2 Ag 2.66
I: 0.5000 0.0000 0.0000  2 Ag 2.62

## Properties
The final energy comes out at -29.5890 eV per atom. As for the symmetry: No. 123. The calculation puts the volume at 29.6 Å³ per atom. The calculation puts the total moment at 0.000 Bohr magnetons per cell.

Record 4
# ReSe3

A PBEsol-optimized structure of ReSe3 (SCAN, Alexandria via LeMat-Bulk).

Unit cell a=3.3639 b=8.0175 c=8.1775 alpha=119.35 beta=90.00 gamma=90.00
Closest atoms and distances in Å follow each position.
Positions (direct):
Se: 0.7500 0.0646 0.1291  2 Se 2.49
Se: 0.7500 0.5945 0.7015  1 Re 2.32
Se: 0.2500 0.8930 0.2985  1 Re 2.32
Se: 0.7500 0.1070 0.7015  1 Re 2.32
Se: 0.2500 0.9354 0.8709  2 Se 2.49
Se: 0.2500 0.4055 0.2985  1 Re 2.32
Re: 0.7500 0.4383 0.8766  2 Se 2.32, 2 Re 2.43
Re: 0.2500 0.5617 0.1234  2 Se 2.32, 2 Re 2.43

## Properties
As for the symmetry: No. 63. The calculation puts the polymorph energy (0 for the lowest one) at 130 meV/atom. The calculation puts the volume at 24.0 Å³ per atom. The calculation puts the total moment at 0.000 Bohr magnetons per cell.

Record 5
# TaCrNi

A PBEsol-optimized structure of TaCrNi (SCAN, Alexandria via LeMat-Bulk).

Unit cell a=2.6684 b=2.6684 c=6.5261 alpha=90.00 beta=90.00 gamma=120.00
Closest atoms and distances in Å follow each position.
Positions (direct):
Ni: 0.3333 0.6667 0.6847  3 Cr 2.44, 6 Ni 2.67, 3 Ta 2.73
Ta: 0.6667 0.3333 0.3399  6 Ta 2.67, 3 Ni 2.73, 3 Cr 2.83
Cr: 0.0000 0.0000 0.9754  3 Ni 2.44, 6 Cr 2.67

## Properties
As for the symmetry: No. 156. The calculation puts the polymorph energy (0 for the lowest one) at 528 meV/atom. The calculation puts the volume at 13.4 Å³ per atom. The calculation puts the total moment at 0.009 Bohr magnetons per cell. The formation energy from the elements is 37.1 kJ per mole of atoms.

Record 6
# YMnCrO5

A PBEsol-optimized structure of YMnCrO5 (SCAN, Alexandria via LeMat-Bulk).

Unit cell a=5.6942 b=7.1084 c=8.4489 alpha=90.00 beta=90.00 gamma=90.00
Closest atoms and distances in Å follow each position.
Positions (direct):
O: 0.2234 0.0000 0.0000  2 Mn 1.92
O: 0.7435 0.8908 0.7095  1 Mn 1.89, 1 Cr 1.93
O: 0.7766 0.5000 0.5000  2 Mn 1.92
O: 0.2565 0.6092 0.2095  1 Mn 1.89, 1 Cr 1.93
O: 0.7435 0.3908 0.7905  1 Mn 1.89, 1 Cr 1.93
O: 0.7435 0.1092 0.2905  1 Mn 1.89, 1 Cr 1.93
O: 0.0000 0.8507 0.4233  2 Cr 1.89, 1 Mn 1.91
O: 0.2565 0.8908 0.7095  1 Mn 1.89, 1 Cr 1.93
O: 0.5000 0.3303 0.0547  2 Cr 1.93
O: 0.5000 0.6697 0.9453  2 Cr 1.93
O: 0.2565 0.3908 0.7905  1 Mn 1.89, 1 Cr 1.93
O: 0.0000 0.1493 0.5767  2 Cr 1.89, 1 Mn 1.91
O: 0.0000 0.6493 0.9233  2 Cr 1.89, 1 Mn 1.91
O: 0.2565 0.1092 0.2905  1 Mn 1.89, 1 Cr 1.93
O: 0.2234 0.5000 0.5000  2 Mn 1.92
O: 0.7435 0.6092 0.2095  1 Mn 1.89, 1 Cr 1.93
O: 0.0000 0.3507 0.0767  2 Cr 1.89, 1 Mn 1.91
O: 0.5000 0.1697 0.5547  2 Cr 1.93
O: 0.7766 0.0000 0.0000  2 Mn 1.92
O: 0.5000 0.8303 0.4453  2 Cr 1.93
Y: 0.5000 0.3665 0.3268  8 O 2.31-2.43
Y: 0.5000 0.8665 0.1732  8 O 2.31-2.43
Y: 0.5000 0.1335 0.8268  8 O 2.31-2.43
Y: 0.5000 0.6335 0.6732  8 O 2.31-2.43
Mn: 0.0000 0.0963 0.1488  5 O 1.89-1.92
Mn: 0.0000 0.4037 0.6488  5 O 1.89-1.92
Mn: 0.0000 0.5963 0.3512  5 O 1.89-1.92
Mn: 0.0000 0.9037 0.8512  5 O 1.89-1.92
Cr: 0.7507 0.5000 0.0000  6 O 1.89-1.93
Cr: 0.2493 0.0000 0.5000  6 O 1.89-1.93
Cr: 0.2493 0.5000 0.0000  6 O 1.89-1.93
Cr: 0.7507 0.0000 0.5000  6 O 1.89-1.93

## Properties
The final energy comes out at -14.8036 eV per atom. As for the symmetry: No. 55. The calculation puts the volume at 10.7 Å³ per atom. The calculation puts the total moment at 24.000 Bohr magnetons per cell.

Record 7
# Mn2TcCl

A PBEsol-optimized structure of Mn2TcCl (SCAN, Alexandria via LeMat-Bulk).

Unit cell a=2.8653 b=2.9035 c=7.1395 alpha=90.00 beta=90.00 gamma=90.00
Closest atoms and distances in Å follow each position.
Positions (direct):
Mn: 0.0000 0.4999 0.7211  2 Cl 2.45, 4 Tc 2.58
Mn: 0.0000 0.5001 0.2789  2 Cl 2.45, 4 Tc 2.58
Tc: 0.5000 0.0000 0.5000  8 Mn 2.58, 2 Tc 2.87
Cl: 0.5000 0.5000 0.0000  4 Mn 2.45

## Properties
As for the symmetry: No. 47. The calculation puts the polymorph energy (0 for the lowest one) at 0 meV/atom. The calculation puts the volume at 14.8 Å³ per atom. The calculation puts the total moment at 6.479 Bohr magnetons per cell.

Record 8
# Be2TeIr

A PBEsol-optimized structure of Be2TeIr (SCAN, Alexandria via LeMat-Bulk).

Unit cell a=3.0225 b=3.0225 c=7.5721 alpha=78.49 beta=78.49 gamma=60.00
Closest atoms and distances in Å follow each position.
Positions (direct):
Be: 0.7634 0.7634 0.7097  3 Ir 2.33
Be: 0.2366 0.2366 0.2903  3 Ir 2.33
Te: 0.0000 0.0000 0.0000  6 Be 2.76, 6 Te 3.02
Ir: 0.5000 0.5000 0.5000  6 Be 2.33

## Properties
The final energy comes out at -29.0233 eV per atom. As for the symmetry: No. 166. The calculation puts the volume at 14.6 Å³ per atom. The calculation puts the total moment at 0.000 Bohr magnetons per cell.

Question: Among the records above, which one has the highest total moment?
Answer: YMnCrO5